[1]
# PBE ZnAg2Au, relaxed
data_ZnAg2Au
_chemical_formula_sum 'Zn1 Ag2 Au1'
_cell_length_a 3.225
_cell_length_b 3.225
_cell_length_c 6.578
_cell_angle_alpha 90.00
_cell_angle_beta 90.00
_cell_angle_gamma 90.00
_space_group_name_H-M_alt 'P 4 m m'
_space_group_IT_number 99
_space_group_name_Hall 'P 4 -2'
loop_
_atom_site_label
_atom_site_type_symbol
_atom_site_fract_x
_atom_site_fract_y
_atom_site_fract_z
Zn1 Zn 0.000 0.000 0.000
Ag1 Ag 0.000 0.000 0.504
Ag2 Ag 0.500 0.500 0.237
Au1 Au 0.500 0.500 0.778
# DFT formation energy: -0.3 eV/f.u.

---

[2]
# PBE Mn5NiB2Mo2, relaxed
data_Mn5NiB2Mo2
_chemical_formula_sum 'Mn10 Ni2 B4 Mo4'
_cell_length_a 8.535
_cell_length_b 8.535
_cell_length_c 2.935
_cell_angle_alpha 90.00
_cell_angle_beta 90.00
_cell_angle_gamma 90.00
_space_group_name_H-M_alt 'P 4/m b m'
_space_group_IT_number 127
_space_group_name_Hall '-P 4 2ab'
loop_
_atom_site_label
_atom_site_type_symbol
_atom_site_fract_x
_atom_site_fract_y
_atom_site_fract_z
Mn1 Mn 0.000 0.500 0.000
Mn2 Mn 0.068 0.213 0.000
Ni1 Ni 0.000 0.000 0.500
B1 B 0.123 0.377 0.500
Mo1 Mo 0.176 0.676 0.500
# DFT formation energy: -1.6 eV/f.u.

---

[3]
# PBE Ba2InGeAu6, relaxed
data_Ba2InGeAu6
_chemical_formula_sum 'Ba4 In2 Ge2 Au12'
_cell_length_a 12.906
_cell_length_b 6.160
_cell_length_c 8.841
_cell_angle_alpha 90.00
_cell_angle_beta 130.30
_cell_angle_gamma 90.00
_space_group_name_H-M_alt 'C 1 2/m 1'
_space_group_IT_number 12
_space_group_name_Hall '-C 2y'
loop_
_atom_site_label
_atom_site_type_symbol
_atom_site_fract_x
_atom_site_fract_y
_atom_site_fract_z
Ba1 Ba 0.248 0.000 0.203
In1 In 0.000 0.500 0.000
Ge1 Ge 0.000 0.000 0.500
Au1 Au 0.018 0.247 0.275
Au2 Au 0.249 0.000 0.618
# DFT formation energy: -4.6 eV/f.u.

---

[4]
# PBE LaNd4Hg2, relaxed
data_LaNd4Hg2
_chemical_formula_sum 'La4 Nd16 Hg8'
_cell_length_a 16.715
_cell_length_b 5.523
_cell_length_c 10.008
_cell_angle_alpha 90.00
_cell_angle_beta 104.91
_cell_angle_gamma 90.00
_space_group_name_H-M_alt 'C 1 2/m 1'
_space_group_IT_number 12
_space_group_name_Hall '-C 2y'
loop_
_atom_site_label
_atom_site_type_symbol
_atom_site_fract_x
_atom_site_fract_y
_atom_site_fract_z
La1 La 0.099 0.000 0.071
Nd1 Nd 0.034 0.000 0.684
Nd2 Nd 0.133 0.500 0.339
Nd3 Nd 0.192 0.500 0.697
Nd4 Nd 0.239 0.500 0.085
Hg1 Hg 0.045 0.500 0.875
Hg2 Hg 0.170 0.000 0.505
# relative energy among the computed polymorphs: 0.007 eV per atom
# DFT formation energy: -1.3 eV/f.u.

---

[5]
# PBE Ca5ErBi5, relaxed
data_Ca5ErBi5
_chemical_formula_sum 'Ca10 Er2 Bi10'
_cell_length_a 15.059
_cell_length_b 6.383
_cell_length_c 8.982
_cell_angle_alpha 90.00
_cell_angle_beta 107.93
_cell_angle_gamma 90.00
_space_group_name_H-M_alt 'C 1 2/m 1'
_space_group_IT_number 12
_space_group_name_Hall '-C 2y'
loop_
_atom_site_label
_atom_site_type_symbol
_atom_site_fract_x
_atom_site_fract_y
_atom_site_fract_z
Ca1 Ca 0.000 0.000 0.000
Ca2 Ca 0.179 0.500 0.355
Ca3 Ca 0.184 0.500 0.823
Er1 Er 0.000 0.000 0.500
Bi1 Bi 0.000 0.500 0.500
Bi2 Bi 0.151 0.000 0.327
Bi3 Bi 0.161 0.000 0.829
# DFT formation energy: -7.3 eV/f.u.

---

[6]
# PBE Fe2Tc2Ir, relaxed
data_Fe2Tc2Ir
_chemical_formula_sum 'Fe4 Tc4 Ir2'
_cell_length_a 6.894
_cell_length_b 6.894
_cell_length_c 2.732
_cell_angle_alpha 90.00
_cell_angle_beta 90.00
_cell_angle_gamma 90.00
_space_group_name_H-M_alt 'P 4/m b m'
_space_group_IT_number 127
_space_group_name_Hall '-P 4 2ab'
loop_
_atom_site_label
_atom_site_type_symbol
_atom_site_fract_x
_atom_site_fract_y
_atom_site_fract_z
Fe1 Fe 0.123 0.377 0.000
Tc1 Tc 0.173 0.673 0.500
Ir1 Ir 0.000 0.000 0.000
# DFT formation energy: 0.4 eV/f.u.

---

[7]
# PBE YW, relaxed
data_YW
_chemical_formula_sum 'Y4 W4'
_cell_length_a 3.514
_cell_length_b 5.068
_cell_length_c 10.311
_cell_angle_alpha 90.00
_cell_angle_beta 90.00
_cell_angle_gamma 90.00
_space_group_name_H-M_alt 'I m m a'
_space_group_IT_number 74
_space_group_name_Hall '-I 2b 2'
loop_
_atom_site_label
_atom_site_type_symbol
_atom_site_fract_x
_atom_site_fract_y
_atom_site_fract_z
Y1 Y 0.000 0.250 0.113
W1 W 0.000 0.250 0.663
# relative energy among the computed polymorphs: 0.104 eV per atom
# DFT formation energy: 0.7 eV/f.u.

---

[8]
# PBE NaSrMg2In2, relaxed
data_NaSrMg2In2
_chemical_formula_sum 'Na1 Sr1 Mg2 In2'
_cell_length_a 5.2020
_cell_length_b 5.2020
_cell_length_c 7.1941
_cell_angle_alpha 90.00
_cell_angle_beta 90.00
_cell_angle_gamma 120.00
_space_group_name_H-M_alt 'P -3 m 1'
_space_group_IT_number 164
_space_group_name_Hall '-P 3 2"'
loop_
_atom_site_label
_atom_site_type_symbol
_atom_site_fract_x
_atom_site_fract_y
_atom_site_fract_z
Na1 Na 0.0000 0.0000 0.0000
Sr1 Sr 0.0000 0.0000 0.5000
Mg1 Mg 0.3333 0.6667 0.2125
In1 In 0.3333 0.6667 0.7486
# DFT formation energy: -1.1 eV/f.u.

---

[9]
# PBE Pr4RuPb, relaxed
data_Pr4RuPb
_chemical_formula_sum 'Pr16 Ru4 Pb4'
_cell_length_a 9.146
_cell_length_b 14.183
_cell_length_c 6.398
_cell_angle_alpha 90.00
_cell_angle_beta 114.37
_cell_angle_gamma 90.00
_space_group_name_H-M_alt 'C 1 2/c 1'
_space_group_IT_number 15
_space_group_name_Hall '-C 2yc'
loop_
_atom_site_label
_atom_site_type_symbol
_atom_site_fract_x
_atom_site_fract_y
_atom_site_fract_z
Pr1 Pr 0.111 0.174 0.069
Pr2 Pr 0.224 0.432 0.344
Ru1 Ru 0.000 0.000 0.250
Pb1 Pb 0.000 0.374 0.750
# DFT formation energy: -1.8 eV/f.u.

---

[10]
# PBE TcHS, relaxed
data_TcHS
_chemical_formula_sum 'Tc8 H8 S8'
_cell_length_a 5.398
_cell_length_b 15.616
_cell_length_c 5.391
_cell_angle_alpha 90.00
_cell_angle_beta 108.75
_cell_angle_gamma 90.00
_space_group_name_H-M_alt 'C 1 2/m 1'
_space_group_IT_number 12
_space_group_name_Hall '-C 2y'
loop_
_atom_site_label
_atom_site_type_symbol
_atom_site_fract_x
_atom_site_fract_y
_atom_site_fract_z
Tc1 Tc 0.250 0.230 0.250
H1 H 0.002 0.000 0.931
H2 H 0.017 0.500 0.573
S1 S 0.000 0.163 0.500
S2 S 0.000 0.337 0.000
# relative energy among the computed polymorphs: 0.051 eV per atom

---

[11]
# PBE Tb3Pm2TmS6, relaxed
data_Tb3Pm2TmS6
_chemical_formula_sum 'Tb6 Pm4 Tm2 S12'
_cell_length_a 17.185
_cell_length_b 3.937
_cell_length_c 7.939
_cell_angle_alpha 90.00
_cell_angle_beta 103.27
_cell_angle_gamma 90.00
_space_group_name_H-M_alt 'C 1 2/m 1'
_space_group_IT_number 12
_space_group_name_Hall '-C 2y'
loop_
_atom_site_label
_atom_site_type_symbol
_atom_site_fract_x
_atom_site_fract_y
_atom_site_fract_z
Tb1 Tb 0.000 0.000 0.000
Tb2 Tb 0.170 0.500 0.333
Pm1 Pm 0.168 0.500 0.836
Tm1 Tm 0.000 0.000 0.500
S1 S 0.003 0.500 0.258
S2 S 0.163 0.000 0.575
S3 S 0.164 0.000 0.089
# raw formation energy: -24.03 eV per formula unit

---

[12]
# PBE LiTc, relaxed
data_LiTc
_chemical_formula_sum 'Li2 Tc2'
_cell_length_a 2.7614
_cell_length_b 2.7614
_cell_length_c 9.3478
_cell_angle_alpha 90.00
_cell_angle_beta 90.00
_cell_angle_gamma 120.00
_space_group_name_H-M_alt 'P 3 m 1'
_space_group_IT_number 156
_space_group_name_Hall 'P 3 -2"'
loop_
_atom_site_label
_atom_site_type_symbol
_atom_site_fract_x
_atom_site_fract_y
_atom_site_fract_z
Li1 Li 0.0000 0.0000 0.0000
Li2 Li 0.3333 0.6667 0.2803
Tc1 Tc 0.3333 0.6667 0.7502
Tc2 Tc 0.6667 0.3333 0.5319
# relative energy among the computed polymorphs: 0.018 eV per atom
# DFT formation energy: 0.2 eV/f.u.

---

Number 1: total energy -10.531 eV/cell. Number 2: total energy -176.550 eV/cell. Number 3: total energy -70.947 eV/cell. Number 4: total energy -103.660 eV/cell. Number 5: total energy -82.500 eV/cell. Number 6: total energy -92.299 eV/cell. Number 7: total energy -74.853 eV/cell. Number 8: total energy -12.765 eV/cell. Number 9: total energy -135.748 eV/cell. Number 10: total energy -146.717 eV/cell. Number 11: total energy -153.314 eV/cell. Number 12: total energy -24.113 eV/cell.